# PBE-GGA Cs3GeAs2, relaxed
# Formation energy   -0.183 eV per atom
# Raw total energy   -35.2 eV for the cell shown
# Distance to the lowest polymorph of the same formula   107 meV/atom
data_Cs3GeAs2
_chemical_formula_sum 'Cs6 Ge2 As4'
_cell_length_a 13.8271
_cell_length_b 13.8271
_cell_length_c 13.8271
_cell_angle_alpha 152.45
_cell_angle_beta 53.71
_cell_angle_gamma 134.85
_space_group_name_H-M_alt 'P 1'
_space_group_IT_number 1
loop_
_space_group_symop_operation_xyz
'x,y,z'
loop_
_atom_site_label
_atom_site_type_symbol
_atom_site_fract_x
_atom_site_fract_y
_atom_site_fract_z
Cs1 Cs 0.0904 0.7500 0.3404
Cs2 Cs 0.2500 0.2500 0.0000
Cs3 Cs 0.4096 0.7500 0.6596
Cs4 Cs 0.5904 0.2500 0.3404
Cs5 Cs 0.7500 0.7500 0.0000
Cs6 Cs 0.9096 0.2500 0.6596
Ge1 Ge 0.0000 0.5000 0.5000
Ge2 Ge 0.5000 0.0000 0.5000
As1 As 0.0742 0.6967 0.7709
As2 As 0.4258 0.1967 0.6225
As3 As 0.5742 0.8033 0.3775
As4 As 0.9258 0.3033 0.2291

# PBE-GGA Cs2Ge4As5, relaxed
# Formation energy   0.002 eV per atom
# Raw total energy   -43.4 eV for the cell shown
data_Cs2Ge4As5
_chemical_formula_sum 'Cs2 Ge4 As5'
_cell_length_a 7.6035
_cell_length_b 7.6035
_cell_length_c 9.3638
_cell_angle_alpha 122.59
_cell_angle_beta 122.59
_cell_angle_gamma 48.66
_space_group_name_H-M_alt 'P 1'
_space_group_IT_number 1
loop_
_space_group_symop_operation_xyz
'x,y,z'
loop_
_atom_site_label
_atom_site_type_symbol
_atom_site_fract_x
_atom_site_fract_y
_atom_site_fract_z
Cs1 Cs 0.2368 0.2368 0.1615
Cs2 Cs 0.7632 0.7632 0.8385
Ge1 Ge 0.0673 0.0673 0.6722
Ge2 Ge 0.1998 0.1998 0.5422
Ge3 Ge 0.8002 0.8002 0.4578
Ge4 Ge 0.9327 0.9327 0.3278
As1 As 0.2258 0.6608 0.6996
As2 As 0.3392 0.7742 0.3004
As3 As 0.5000 0.5000 0.0000
As4 As 0.6608 0.2258 0.6996
As5 As 0.7742 0.3392 0.3004

Q: Look up the formation energy of the first one.
A: -0.183 eV per atom

Q: Among the records above, which one has the highest formation energy?
A: Cs2Ge4As5